Computed, not measured: crystalline Ho4SiPd3 at its relaxed geometry at the GGA-PBE level of DFT.

Unit cell a=3.8388 b=4.3414 c=10.6748 alpha=90.00 beta=90.00 gamma=90.00
Space group Pmm2 (No. 25)
Inequivalent atoms, fractional coordinates:
Ho  0.0000  0.0000  0.0000
Ho  0.0000  0.5000  0.2788
Ho  0.5000  0.0000  0.4986
Ho  0.5000  0.5000  0.7792
Si  0.5000  0.0000  0.2185
Pd  0.0000  0.0000  0.7259
Pd  0.0000  0.5000  0.5534
Pd  0.5000  0.5000  0.0636

Output
formation energy (no corrections) = -879 meV/atom
final energy = -5.793 eV/atom

Computed, not measured: crystalline HoSi4Pd4 at its relaxed geometry at the GGA-PBE level of DFT.

Unit cell a=6.0232 b=6.0232 c=8.1980 alpha=90.00 beta=90.00 gamma=90.00
Space group P4_2/nmc (No. 137, origin choice 2)
Inequivalent atoms, fractional coordinates:
Ho  0.2500  0.7500  0.2500
Si  0.0471  0.2500  0.0693
Pd  0.0174  0.2500  0.3672

Output
formation energy (no corrections) = -601 meV/atom
final energy = -5.828 eV/atom

Computed, not measured: crystalline Ho2Si3Pd2 at its relaxed geometry at the GGA-PBE level of DFT.

Unit cell a=10.2612 b=4.2015 c=6.3901 alpha=90.00 beta=115.49 gamma=90.00
Space group C2/m (No. 12)
Inequivalent atoms, fractional coordinates:
Ho  0.1499  0.0000  0.2780
Si  0.0000  0.5000  0.5000
Si  0.0985  0.5000  0.9384
Pd  0.1430  0.0000  0.7485

Output
formation energy (no corrections) = -777 meV/atom
final energy = -5.893 eV/atom
distance to the lowest polymorph of the same formula = 13.2 kJ/mol of atoms

Computed, not measured: crystalline HoSi2Pd7 at its relaxed geometry at the GGA-PBE level of DFT.

Unit cell a=4.0378 b=4.0378 c=20.1010 alpha=90.00 beta=90.00 gamma=90.00
Space group I4/mmm (No. 139)
Inequivalent atoms, fractional coordinates:
Ho  0.0000  0.0000  0.0000
Si  0.0000  0.0000  0.3247
Pd  0.0000  0.0000  0.5000
Pd  0.0000  0.5000  0.1074
Pd  0.0000  0.5000  0.2500

Output
formation energy (no corrections) = -764 meV/atom
final energy = -5.942 eV/atom
distance to the lowest polymorph of the same formula = 0.0 kJ/mol of atoms

Computed, not measured: crystalline HoSi3Pd2 at its relaxed geometry at the GGA-PBE level of DFT.

Unit cell a=9.3939 b=7.5606 c=5.6866 alpha=90.00 beta=90.00 gamma=90.00
Space group Cmcm (No. 63)
Inequivalent atoms, fractional coordinates:
Ho  0.0000  0.1706  0.2500
Si  0.0000  0.4554  0.7500
Si  0.1308  0.1859  0.7500
Pd  0.2185  0.5000  0.0000

Output
formation energy (no corrections) = -580 meV/atom
final energy = -5.786 eV/atom

Computed, not measured: crystalline HoSi3Pd at its relaxed geometry at the GGA-PBE level of DFT.

Unit cell a=5.5015 b=5.5298 c=5.6536 alpha=90.00 beta=97.06 gamma=90.00
Space group P2_1/m (No. 11)
Inequivalent atoms, fractional coordinates:
Ho  0.1836  0.2500  0.1574
Si  0.3240  0.5246  0.7095
Si  0.3372  0.7500  0.1003
Pd  0.0275  0.7500  0.3879

Output
formation energy (no corrections) = -545 meV/atom
final energy = -5.753 eV/atom

Computed, not measured: crystalline HoSi4Pd6 at its relaxed geometry at the GGA-PBE level of DFT.

Unit cell a=7.1559 b=7.1559 c=3.8643 alpha=90.00 beta=90.00 gamma=120.00
Space group P-6m2 (No. 187)
Inequivalent atoms, fractional coordinates:
Ho  0.0000  0.0000  0.0000
Si  0.1921  0.3841  0.5000
Si  0.6667  0.3333  0.0000
Pd  0.0687  0.5344  0.0000
Pd  0.3951  0.1975  0.5000

Output
formation energy (no corrections) = -791 meV/atom
final energy = -6.012 eV/atom
distance to the lowest polymorph of the same formula = 0.0 kJ/mol of atoms

Computed, not measured: crystalline TbHoSiPd at its relaxed geometry at the GGA-PBE level of DFT.

Unit cell a=4.2212 b=3.9520 c=10.7888 alpha=90.00 beta=90.00 gamma=90.00
Space group Amm2 (No. 38)
Inequivalent atoms, fractional coordinates:
Tb  0.0000  0.0000  0.0000
Ho  0.5000  0.0000  0.7194
Si  0.0000  0.0000  0.2794
Pd  0.5000  0.0000  0.4327

Output
formation energy (no corrections) = -840 meV/atom
final energy = -5.796 eV/atom
distance to the lowest polymorph of the same formula = 0.0 kJ/mol of atoms

Computed, not measured: crystalline TbHoSiPd at its relaxed geometry at the GGA-PBE level of DFT.

Unit cell a=7.0397 b=7.0397 c=7.0397 alpha=90.00 beta=90.00 gamma=90.00
Space group F-43m (No. 216)
Inequivalent atoms, fractional coordinates:
Tb  0.0000  0.0000  0.0000
Ho  0.0000  0.0000  0.5000
Si  0.2500  0.2500  0.2500
Pd  0.2500  0.2500  0.7500

Output
formation energy (no corrections) = -726 meV/atom
final energy = -5.682 eV/atom
distance to the lowest polymorph of the same formula = 11.0 kJ/mol of atoms

Computed, not measured: crystalline SmHoPd2 at its relaxed geometry at the GGA-PBE level of DFT.

Unit cell a=4.5678 b=3.7860 c=10.6359 alpha=90.00 beta=90.00 gamma=90.00
Space group Amm2 (No. 38)
Inequivalent atoms, fractional coordinates:
Sm  0.0000  0.0000  0.0000
Ho  0.5000  0.0000  0.2744
Pd  0.0000  0.0000  0.7254
Pd  0.5000  0.0000  0.5531

Output
formation enthalpy at 0 K = -85.4 kJ/mol of atoms
final energy = -5.806 eV/atom
distance to the lowest polymorph of the same formula = 0.0 kJ/mol of atoms

Computed, not measured: crystalline SmHo2Pd at its relaxed geometry at the GGA-PBE level of DFT.

Unit cell a=3.8323 b=3.8323 c=27.6377 alpha=90.00 beta=90.00 gamma=120.00
Space group R3m (No. 160, hexagonal axes)
Inequivalent atoms, fractional coordinates:
Sm  0.0000  0.0000  0.0000
Ho  0.0000  0.0000  0.5613
Ho  0.0000  0.0000  0.7687
Pd  0.0000  0.0000  0.1645

Output
formation enthalpy at 0 K = -30.3 kJ/mol of atoms
final energy = -5.080 eV/atom
distance to the lowest polymorph of the same formula = 14.7 kJ/mol of atoms